Zr2TlSb: optimized geometry, PBE.

Geometry as POSCAR:
```
Zr2TlSb
1.0
0.000 3.662 3.662
3.662 0.000 3.662
3.662 3.662 0.000
Zr Tl Sb
2 1 1
direct
0.000 0.000 0.000
0.250 0.250 0.250
0.500 0.500 0.500
0.750 0.750 0.750
```

Output
Symmetry: F-43m, No. 216
Theoretical density in g cm⁻³: 8.6
Fermi-level density of states in states/eV/cell: 4.16
Size of the total moment in μB per cell: 2.04
Calculated total energy in eV/atom: -5.681
ΔE_f (raw) in eV/atom: 0.22

---

Zr2TlSb: optimized geometry, PBE.

Geometry as POSCAR:
```
Zr2TlSb
1.0
3.221 0.000 0.000
0.000 3.221 0.000
0.000 0.000 9.861
Zr Tl Sb
2 1 1
direct
0.000 0.000 0.000
0.500 0.500 0.227
0.500 0.500 0.762
0.000 0.000 0.452
```

Output
Symmetry: P4mm, No. 99
Theoretical density in g cm⁻³: 8.3
Fermi-level density of states in states/eV/cell: 2.78
Size of the total moment in μB per cell: 0.00
Calculated total energy in eV/atom: -5.947
ΔE_f (raw) in eV/atom: -0.05